Cr2SiC | GGA-PBE | relaxed

Summary:
* symmetry: Fm-3m, No. 225
* ΔE_f (raw): 0.772 eV/atom
* N(E_F): 7.5 states/eV/f.u.
* energy above the most stable polymorph in this dataset: 3.727 eV per formula unit

abc: 3.883 3.883 3.883
angles: 60.00 60.00 60.00
Sites, in units of the cell vectors:
Cr 0.250 0.250 0.250
Cr 0.750 0.750 0.750
Si 0.500 0.500 0.500
C 0.000 0.000 0.000

CrSiC | GGA-PBE | relaxed

Summary:
* symmetry: Pmm2, No. 25
* ΔE_f (raw): 0.131 eV/atom
* N(E_F): 1.6 states/eV/f.u.
* energy above the most stable polymorph in this dataset: 0.085 eV per formula unit

abc: 2.683 2.713 4.231
angles: 90.00 90.00 90.00
Sites, in units of the cell vectors:
Cr 0.000 0.500 0.535
Si 0.500 0.500 0.019
C 0.500 0.000 0.348

CrSiC | GGA-PBE | relaxed

Summary:
* symmetry: P4mm, No. 99
* ΔE_f (raw): 0.139 eV/atom
* N(E_F): 1.2 states/eV/f.u.
* energy above the most stable polymorph in this dataset: 0.109 eV per formula unit

abc: 2.702 2.702 4.187
angles: 90.00 90.00 90.00
Sites, in units of the cell vectors:
Cr 0.000 0.000 0.570
Si 0.500 0.500 0.944
C 0.500 0.500 0.388

Cr2SiC | GGA-PBE | relaxed

Summary:
* symmetry: P6_3/mmc, No. 194
* ΔE_f (raw): -0.159 eV/atom
* N(E_F): 3.5 states/eV/f.u.
* energy above the most stable polymorph in this dataset: 0.000 eV per formula unit

abc: 2.869 2.869 11.915
angles: 90.00 90.00 120.00
Sites, in units of the cell vectors:
Cr 0.333 0.667 0.410
Cr 0.667 0.333 0.590
Cr 0.667 0.333 0.910
Cr 0.333 0.667 0.090
Si 0.333 0.667 0.750
Si 0.667 0.333 0.250
C 0.000 0.000 0.500
C 0.000 0.000 0.000